[1]
The following is a DFT calculation (GGA-PBE) of ZrZnPt after structural relaxation.

Calculated formation energy (eV/atom): -0.78

Cell and atoms, written as extended XYZ:
```
6
Lattice="-1.756 -4.246 -0.930 1.433 -2.366 -3.785 4.109 -2.345 3.045" Properties=species:S:1:pos:R:3 pbc="T T T"
Zr 2.930 -7.328 -1.553
Zr 0.856 -1.629 -0.117
Pt 0.818 -6.143 -3.132
Zn -0.162 -3.306 -2.357
Pt 2.968 -2.814 1.462
Zn 1.893 -4.478 -0.835
```

[2]
The following is a DFT calculation (GGA-PBE) of Pm2SnPd2 after structural relaxation.

Cell and atoms, written as extended XYZ:
```
10
Lattice="7.835 0.000 0.000 0.000 7.835 0.000 0.000 0.000 3.821" Properties=species:S:1:pos:R:3 pbc="T T T"
Pm 5.296 6.457 1.910
Pm 2.539 1.378 1.910
Pm 1.378 5.296 1.910
Pm 6.457 2.539 1.910
Pd 6.847 4.906 0.000
Pd 0.988 2.929 0.000
Pd 4.906 0.988 0.000
Sn 3.917 3.917 0.000
Sn 0.000 0.000 0.000
Pd 2.929 6.847 0.000
```

[3]
The following is a DFT calculation (GGA-PBE) of NdTmCN2O2 after structural relaxation.

Cell and atoms, written as extended XYZ:
```
7
Lattice="3.762 0.000 0.000 -1.881 3.258 0.000 0.000 0.000 8.206" Properties=species:S:1:pos:R:3 pbc="T T T"
N 0.000 0.000 7.022
N 0.000 0.000 1.286
C 0.000 0.000 0.054
O 1.881 1.086 3.176
O 0.000 2.172 4.858
Nd 1.881 1.086 5.575
Tm 0.000 2.172 2.647
```

[4]
The following is a DFT calculation (GGA-PBE) of KHfAg3S4 after structural relaxation.

Relative energy among the computed polymorphs (eV/atom): 0.000

Cell and atoms, written as extended XYZ:
```
9
Lattice="-3.042 5.396 -1.053 -4.935 -3.211 -2.195 -2.423 -0.236 5.793" Properties=species:S:1:pos:R:3 pbc="T T T"
S -5.052 -1.359 -0.662
S -8.100 1.518 1.981
S -3.652 0.300 3.793
Ag -1.212 -0.118 2.896
K -5.200 0.975 1.272
Ag -1.521 2.698 -0.526
Hf 0.000 0.000 0.000
Ag -2.467 -1.605 -1.098
S -3.997 3.440 -0.024
```

[5]
The following is a DFT calculation (GGA-PBE) of AcMoAs after structural relaxation.

Relative energy among the computed polymorphs (eV/atom): 0.779

Cell and atoms, written as extended XYZ:
```
3
Lattice="0.000 3.675 3.675 3.675 0.000 3.675 3.675 3.675 0.000" Properties=species:S:1:pos:R:3 pbc="T T T"
Mo 5.512 5.512 5.512
Ac 0.000 0.000 0.000
As 1.837 1.837 1.837
```

[6]
The following is a DFT calculation (GGA-PBE) of NdB4 after structural relaxation.

Cell and atoms, written as extended XYZ:
```
20
Lattice="7.223 0.000 0.000 0.000 7.223 0.000 0.000 0.000 4.112" Properties=species:S:1:pos:R:3 pbc="T T T"
B 3.611 3.611 3.270
Nd 2.287 5.899 0.000
B 2.976 0.636 2.056
B 4.871 3.331 2.056
B 0.636 4.247 2.056
B 6.942 1.260 2.056
B 1.260 0.281 2.056
Nd 5.899 4.936 0.000
B 6.587 2.976 2.056
B 3.611 3.611 0.842
B 0.281 5.963 2.056
B 5.963 6.942 2.056
B 3.892 4.871 2.056
B 0.000 0.000 3.270
B 2.352 3.892 2.056
B 3.331 2.352 2.056
B 4.247 6.587 2.056
Nd 4.936 1.324 0.000
Nd 1.324 2.287 0.000
B 0.000 0.000 0.842
```

[7]
The following is a DFT calculation (GGA-PBE) of Na7Cu3N8 after structural relaxation.

Cell and atoms, written as extended XYZ:
```
18
Lattice="6.048 0.000 0.000 -0.066 6.307 0.000 -2.986 -1.342 7.517" Properties=species:S:1:pos:R:3 pbc="T T T"
Cu 0.101 3.613 5.513
N 3.450 2.982 1.726
Na 1.409 1.233 7.081
N 0.764 0.794 1.567
Na 1.587 3.732 0.436
Cu 2.895 1.352 2.004
N 2.712 3.287 6.705
N -0.454 1.983 5.791
Na -0.444 2.123 3.152
Cu 0.000 0.000 0.000
Na 4.456 5.013 2.173
N 2.232 4.171 5.950
Na 1.531 -0.671 3.759
Na -1.460 -0.048 5.344
Na 3.440 2.842 4.365
N -0.547 4.470 4.139
N 3.543 0.495 3.378
N 0.284 1.678 0.812
```

[8]
The following is a DFT calculation (GGA-PBE) of TcNiGe2 after structural relaxation.

Cell and atoms, written as extended XYZ:
```
4
Lattice="0.000 3.082 3.082 3.082 0.000 3.082 3.082 3.082 0.000" Properties=species:S:1:pos:R:3 pbc="T T T"
Ge 3.082 3.082 3.082
Ni 1.541 1.541 1.541
Tc 0.000 0.000 0.000
Ge 4.624 4.624 4.624
```

Calculated total energy (Ry/atom)
-0.44589, -0.41607, -0.62895, -0.35486, -0.40293, -0.50412, -0.32154, -0.43851